1.
Below is an optimized crystal structure of CoMo, with properties calculated at the PBE level.

a b c (Å): 2.6290 13.2746 4.5298
angles (deg): 90.00 90.00 90.00
Last column: magnetic moment on the atom in μB.
Fractional coordinates of all 12 atoms:
Mo 0.0000 0.6834 0.6545  -0.03
Mo 0.5000 0.0000 0.9649  -0.03
Mo 0.0000 0.3166 0.6545  -0.03
Mo 0.0000 0.1834 0.1545  -0.03
Mo 0.5000 0.5000 0.4649  -0.03
Mo 0.0000 0.8166 0.1545  -0.03
Co 0.5000 0.8530 0.6351  0.43
Co 0.0000 0.5000 0.9579  0.86
Co 0.5000 0.3530 0.1351  0.43
Co 0.0000 0.0000 0.4579  0.86
Co 0.5000 0.6470 0.1351  0.43
Co 0.5000 0.1470 0.6351  0.43

## Properties
M_tot (μB per formula unit): 0.54
Fermi-level density of states (states/eV/cell): 13.7
E_tot (eV/atom): -8.844
ΔE_f (meV/atom): 125


2.
Below is an optimized crystal structure of Co4Mo, with properties calculated at the PBE level.

a b c (Å): 4.3577 4.3577 4.3577
angles (deg): 90.00 90.00 90.00
Last column: magnetic moment on the atom in μB.
Fractional coordinates of all 5 atoms:
Co 0.5000 0.5000 0.0000  0.55
Co 0.5000 0.0000 0.5000  0.55
Co 0.0000 0.5000 0.5000  0.55
Co 0.0000 0.0000 0.0000  2.09
Mo 0.5000 0.5000 0.5000  -0.04

## Properties
M_tot (μB per formula unit): 3.60
Fermi-level density of states (states/eV/cell): 7.7
E_tot (eV/atom): -6.172
ΔE_f (meV/atom): 1679


3.
Below is an optimized crystal structure of CoMo, with properties calculated at the PBE level.

a b c (Å): 8.8500 8.8500 8.8500
angles (deg): 17.42 17.42 17.42
Last column: magnetic moment on the atom in μB.
Fractional coordinates of all 4 atoms:
Co 0.9958 0.9958 0.9958  1.07
Co 0.2542 0.2542 0.2542  1.07
Mo 0.5066 0.5066 0.5066  -0.16
Mo 0.7434 0.7434 0.7434  -0.16

## Properties
M_tot (μB per formula unit): 0.87
Fermi-level density of states (states/eV/cell): 5.4
E_tot (eV/atom): -8.678
ΔE_f (meV/atom): 290


4.
Below is an optimized crystal structure of CoMo, with properties calculated at the PBE level.

a b c (Å): 6.1277 7.7683 9.3458
angles (deg): 90.00 90.00 90.00
Fractional coordinates of all 32 atoms:
Co 0.3094 0.5000 0.0000
Co 0.8094 0.5000 0.5000
Co 0.0594 0.7500 0.2500
Co 0.9406 0.7500 0.7500
Co 0.8094 0.0000 0.0000
Co 0.6906 0.0000 0.5000
Co 0.9406 0.2500 0.2500
Co 0.1906 0.5000 0.5000
Co 0.1906 0.0000 0.0000
Co 0.4406 0.2500 0.7500
Co 0.6906 0.5000 0.0000
Co 0.3094 0.0000 0.5000
Co 0.5594 0.2500 0.2500
Co 0.4406 0.7500 0.2500
Co 0.0594 0.2500 0.7500
Co 0.5594 0.7500 0.7500
Mo 0.2500 0.9570 0.7500
Mo 0.0000 0.2070 0.5000
Mo 0.5000 0.7930 0.0000
Mo 0.5000 0.2930 0.5000
Mo 0.0000 0.7930 0.5000
Mo 0.0000 0.2930 0.0000
Mo 0.2500 0.0430 0.2500
Mo 0.7500 0.9570 0.2500
Mo 0.2500 0.5430 0.7500
Mo 0.5000 0.7070 0.5000
Mo 0.7500 0.5430 0.2500
Mo 0.7500 0.0430 0.7500
Mo 0.7500 0.4570 0.7500
Mo 0.0000 0.7070 0.0000
Mo 0.5000 0.2070 0.0000
Mo 0.2500 0.4570 0.2500

## Properties
M_tot (μB per formula unit): 0.00
Fermi-level density of states (states/eV/cell): 39.6
E_tot (eV/atom): -8.447
ΔE_f (meV/atom): 521


5.
Below is an optimized crystal structure of CoMo, with properties calculated at the PBE level.

a b c (Å): 4.5743 4.5743 4.5743
angles (deg): 34.10 34.10 34.10
Last column: magnetic moment on the atom in μB.
Fractional coordinates of all 2 atoms:
Mo 0.5000 0.5000 0.5000  -0.08
Co 0.0000 0.0000 0.0000  0.57

## Properties
M_tot (μB per formula unit): 0.47
Fermi-level density of states (states/eV/cell): 2.2
E_tot (eV/atom): -8.707
ΔE_f (meV/atom): 262


6.
Below is an optimized crystal structure of CoMo, with properties calculated at the PBE level.

a b c (Å): 7.2476 7.2476 4.2299
angles (deg): 90.00 90.00 90.00
Last column: magnetic moment on the atom in μB.
Fractional coordinates of all 16 atoms:
Mo 0.3016 0.0432 0.5000  0.10
Mo 0.5432 0.8016 0.0000  0.10
Mo 0.4568 0.1984 0.0000  0.10
Mo 0.9568 0.3016 0.5000  0.10
Mo 0.0432 0.6984 0.5000  0.10
Mo 0.8016 0.4568 0.0000  0.10
Mo 0.6984 0.9568 0.5000  0.10
Mo 0.1984 0.5432 0.0000  0.10
Co 0.3892 0.7131 0.5000  0.85
Co 0.2869 0.3892 0.5000  0.85
Co 0.7869 0.1108 0.0000  0.85
Co 0.1108 0.2131 0.0000  0.85
Co 0.6108 0.2869 0.5000  0.85
Co 0.7131 0.6108 0.5000  0.85
Co 0.8892 0.7869 0.0000  0.85
Co 0.2131 0.8892 0.0000  0.85

## Properties
M_tot (μB per formula unit): 0.96
Fermi-level density of states (states/eV/cell): 19.9
E_tot (eV/atom): -8.671
ΔE_f (meV/atom): 297


7.
Below is an optimized crystal structure of CoMo, with properties calculated at the PBE level.

a b c (Å): 2.6294 2.6294 7.8574
angles (deg): 90.00 90.00 98.89
Last column: magnetic moment on the atom in μB.
Fractional coordinates of all 4 atoms:
Co 0.0000 0.0000 0.9771  1.36
Co 0.5000 0.5000 0.7729  1.36
Mo 0.0000 0.0000 0.5225  -0.03
Mo 0.5000 0.5000 0.2275  -0.03

## Properties
M_tot (μB per formula unit): 1.30
Fermi-level density of states (states/eV/cell): 4.0
E_tot (eV/atom): -8.844
ΔE_f (meV/atom): 125


8.
Below is an optimized crystal structure of Co5Mo4, with properties calculated at the PBE level.

a b c (Å): 7.2324 7.2324 5.1451
angles (deg): 90.00 90.00 60.00
Last column: magnetic moment on the atom in μB.
Fractional coordinates of all 18 atoms:
Co 0.3383 0.0000 0.7500  0.01
Co 0.6667 0.6667 0.5000  0.93
Co 0.0000 0.6617 0.7500  0.01
Co 0.6667 0.6667 0.0000  0.93
Co 0.6617 0.3383 0.7500  0.01
Co 0.6617 0.0000 0.2500  0.01
Co 0.3333 0.3333 0.5000  0.93
Co 0.0000 0.3383 0.2500  0.01
Co 0.3383 0.6617 0.2500  0.01
Co 0.3333 0.3333 0.0000  0.93
Mo 0.3361 0.0000 0.2500  -0.02
Mo 0.6639 0.3361 0.2500  -0.02
Mo 0.6639 0.0000 0.7500  -0.02
Mo 0.0000 0.0000 0.0000  -0.07
Mo 0.0000 0.0000 0.5000  -0.07
Mo 0.3361 0.6639 0.7500  -0.02
Mo 0.0000 0.6639 0.2500  -0.02
Mo 0.0000 0.3361 0.7500  -0.02

## Properties
M_tot (μB per formula unit): 1.66
Fermi-level density of states (states/eV/cell): 17.0
E_tot (eV/atom): -8.633
ΔE_f (meV/atom): 128
Energy above the lowest structure with this stoichiometry (meV/atom): 43


9.
Below is an optimized crystal structure of Co17Mo2, with properties calculated at the PBE level.

a b c (Å): 6.1093 6.1093 6.1093
angles (deg): 82.15 82.15 82.15
Last column: magnetic moment on the atom in μB.
Fractional coordinates of all 19 atoms:
Co 0.3566 0.8457 0.3566  1.49
Co 0.0000 0.2985 0.7015  1.49
Co 0.6434 0.6434 0.1543  1.49
Co 0.6434 0.1543 0.6434  1.49
Co 0.2985 0.7015 0.0000  1.49
Co 0.0000 0.7015 0.2985  1.49
Co 0.3566 0.3566 0.8457  1.49
Co 0.8987 0.8987 0.8987  1.59
Co 0.0000 0.5000 0.0000  1.53
Co 0.8457 0.3566 0.3566  1.49
Co 0.2985 0.0000 0.7015  1.49
Co 0.0000 0.0000 0.5000  1.53
Co 0.5000 0.0000 0.0000  1.53
Co 0.7015 0.2985 0.0000  1.49
Co 0.1013 0.1013 0.1013  1.59
Co 0.7015 0.0000 0.2985  1.49
Co 0.1543 0.6434 0.6434  1.49
Mo 0.6729 0.6729 0.6729  -0.61
Mo 0.3271 0.3271 0.3271  -0.61

## Properties
M_tot (μB per formula unit): 24.10
Fermi-level density of states (states/eV/cell): 23.0
E_tot (eV/atom): -7.302
ΔE_f (meV/atom): 196


10.
Below is an optimized crystal structure of CoMo, with properties calculated at the PBE level.

a b c (Å): 3.0031 3.0031 3.0031
angles (deg): 90.00 90.00 90.00
Last column: magnetic moment on the atom in μB.
Fractional coordinates of all 2 atoms:
Mo 0.0000 0.0000 0.0000  0.45
Co 0.5000 0.5000 0.5000  1.51

## Properties
M_tot (μB per formula unit): 2.00
Fermi-level density of states (states/eV/cell): 3.6
E_tot (eV/atom): -8.689
ΔE_f (meV/atom): 280


11.
Below is an optimized crystal structure of CoMo, with properties calculated at the PBE level.

a b c (Å): 3.7045 3.7045 4.8383
angles (deg): 90.00 90.00 120.00
Fractional coordinates of all 4 atoms:
Mo 0.3333 0.6667 0.2500
Mo 0.6667 0.3333 0.7500
Co 0.0000 0.0000 0.0000
Co 0.0000 0.0000 0.5000

## Properties
M_tot (μB per formula unit): 0.00
Fermi-level density of states (states/eV/cell): 5.0
E_tot (eV/atom): -8.478
ΔE_f (meV/atom): 491


12.
Below is an optimized crystal structure of CoMo4, with properties calculated at the PBE level.

a b c (Å): 4.8167 4.8167 4.8167
angles (deg): 109.47 109.47 109.47
Fractional coordinates of all 5 atoms:
Mo 0.0000 0.5000 0.0000
Mo 0.0000 0.0000 0.5000
Mo 0.5000 0.0000 0.0000
Mo 0.5000 0.5000 0.5000
Co 0.0000 0.0000 0.0000

## Properties
M_tot (μB per formula unit): 0.00
Fermi-level density of states (states/eV/cell): 5.9
E_tot (eV/atom): -8.999
ΔE_f (meV/atom): 1087
Energy above the lowest structure with this stoichiometry (meV/atom): 938


What did the fourth record say?
Below is an optimized crystal structure of CoMo, with properties calculated at the PBE level.

a b c (Å): 6.1277 7.7683 9.3458
angles (deg): 90.00 90.00 90.00
Fractional coordinates of all 32 atoms:
Co 0.3094 0.5000 0.0000
Co 0.8094 0.5000 0.5000
Co 0.0594 0.7500 0.2500
Co 0.9406 0.7500 0.7500
Co 0.8094 0.0000 0.0000
Co 0.6906 0.0000 0.5000
Co 0.9406 0.2500 0.2500
Co 0.1906 0.5000 0.5000
Co 0.1906 0.0000 0.0000
Co 0.4406 0.2500 0.7500
Co 0.6906 0.5000 0.0000
Co 0.3094 0.0000 0.5000
Co 0.5594 0.2500 0.2500
Co 0.4406 0.7500 0.2500
Co 0.0594 0.2500 0.7500
Co 0.5594 0.7500 0.7500
Mo 0.2500 0.9570 0.7500
Mo 0.0000 0.2070 0.5000
Mo 0.5000 0.7930 0.0000
Mo 0.5000 0.2930 0.5000
Mo 0.0000 0.7930 0.5000
Mo 0.0000 0.2930 0.0000
Mo 0.2500 0.0430 0.2500
Mo 0.7500 0.9570 0.2500
Mo 0.2500 0.5430 0.7500
Mo 0.5000 0.7070 0.5000
Mo 0.7500 0.5430 0.2500
Mo 0.7500 0.0430 0.7500
Mo 0.7500 0.4570 0.7500
Mo 0.0000 0.7070 0.0000
Mo 0.5000 0.2070 0.0000
Mo 0.2500 0.4570 0.2500

## Properties
M_tot (μB per formula unit): 0.00
Fermi-level density of states (states/eV/cell): 39.6
E_tot (eV/atom): -8.447
ΔE_f (meV/atom): 521


Q: Which value of ΔE_f does entry 2 give?
A: 1679 meV/atom


Q: Number 4 is which compound?
A: CoMo